(1)
{"formula": "Tm2Th4N", "functional": "PBE", "state": "optimized geometry", "formation_energy_uncorrected_mev_per_atom": -205, "space_group": "I4/mmm, No. 139", "lattice": [[5.053, 0.000, 0.000], [0.000, 5.053, 0.000], [0.000, 0.000, 16.951]], "species": ["Tm", "Tm", "Tm", "Tm", "Th", "Th", "Th", "Th", "Th", "Th", "Th", "Th", "N", "N"], "frac_coords": [[0.000, 0.000, 0.146], [0.000, 0.000, 0.854], [0.500, 0.500, 0.354], [0.500, 0.500, 0.646], [0.000, 0.000, 0.359], [0.000, 0.000, 0.641], [0.000, 0.500, 0.000], [0.000, 0.500, 0.500], [0.500, 0.000, 0.000], [0.500, 0.000, 0.500], [0.500, 0.500, 0.141], [0.500, 0.500, 0.859], [0.000, 0.000, 0.500], [0.500, 0.500, 0.000]]}


(2)
{"formula": "CrBi3Cl", "functional": "PBE", "state": "optimized geometry", "de_polymorph_ev_per_atom": 0.651, "formation_energy_uncorrected_mev_per_atom": 890, "space_group": "Pm-3m, No. 221", "lattice": [[5.473, 0.000, 0.000], [0.000, 5.473, 0.000], [0.000, 0.000, 5.473]], "species": ["Cr", "Bi", "Bi", "Bi", "Cl"], "frac_coords": [[0.000, 0.000, 0.000], [0.000, 0.500, 0.500], [0.500, 0.000, 0.500], [0.500, 0.500, 0.000], [0.500, 0.500, 0.500]]}


(3)
{"formula": "TlAgSe2", "functional": "PBE", "state": "optimized geometry", "formation_energy_uncorrected_mev_per_atom": -79, "space_group": "C2/c, No. 15", "lattice": [[6.029, -4.638, 0.000], [6.029, 4.638, 0.000], [-1.938, 0.000, 15.038]], "species": ["Tl", "Tl", "Tl", "Tl", "Tl", "Tl", "Tl", "Tl", "Ag", "Ag", "Ag", "Ag", "Ag", "Ag", "Ag", "Ag", "Se", "Se", "Se", "Se", "Se", "Se", "Se", "Se", "Se", "Se", "Se", "Se", "Se", "Se", "Se", "Se"], "frac_coords": [[0.045, 0.716, 0.581], [0.082, 0.509, 0.885], [0.284, 0.955, 0.919], [0.491, 0.918, 0.615], [0.509, 0.082, 0.385], [0.716, 0.045, 0.081], [0.918, 0.491, 0.115], [0.955, 0.284, 0.419], [0.111, 0.270, 0.674], [0.270, 0.111, 0.174], [0.447, 0.552, 0.350], [0.448, 0.553, 0.150], [0.552, 0.447, 0.850], [0.553, 0.448, 0.650], [0.730, 0.889, 0.826], [0.889, 0.730, 0.326], [0.083, 0.917, 0.250], [0.164, 0.819, 0.089], [0.181, 0.836, 0.411], [0.185, 0.391, 0.293], [0.288, 0.346, 0.551], [0.311, 0.689, 0.750], [0.346, 0.288, 0.051], [0.391, 0.185, 0.793], [0.609, 0.815, 0.207], [0.654, 0.712, 0.949], [0.689, 0.311, 0.250], [0.712, 0.654, 0.449], [0.815, 0.609, 0.707], [0.819, 0.164, 0.589], [0.836, 0.181, 0.911], [0.917, 0.083, 0.750]]}


(4)
{"formula": "PmSmNp2As4", "functional": "PBE", "state": "optimized geometry", "space_group": "P2/m, No. 10", "e_form_mev_per_atom": -1099, "lattice": [[7.199, 0.000, 0.000], [0.000, 4.154, 0.000], [-2.398, 0.000, 6.829]], "species": ["Pm", "Sm", "Np", "Np", "As", "As", "As", "As"], "frac_coords": [[0.000, 0.000, 0.000], [0.500, 0.500, 0.000], [0.000, 0.500, 0.500], [0.500, 0.000, 0.500], [0.247, 0.000, 0.740], [0.254, 0.500, 0.261], [0.746, 0.500, 0.739], [0.753, 0.000, 0.260]]}


(5)
{"formula": "KYTeF2", "functional": "PBE", "state": "optimized geometry", "formation_energy_uncorrected_mev_per_atom": -2664, "space_group": "P4/mmm, No. 123", "lattice": [[4.600, 0.000, 0.000], [0.000, 4.600, 0.000], [0.000, 0.000, 6.069]], "species": ["K", "Y", "Te", "F", "F"], "frac_coords": [[0.000, 0.000, 0.000], [0.500, 0.500, 0.500], [0.500, 0.500, 0.000], [0.000, 0.500, 0.500], [0.500, 0.000, 0.500]]}


(6)
{"formula": "Sb2Pb2Au", "functional": "PBE", "state": "optimized geometry", "de_polymorph_ev_per_atom": 0.144, "formation_energy_uncorrected_mev_per_atom": 165, "space_group": "I4/mmm, No. 139", "lattice": [[6.138, 0.000, 0.000], [0.000, 6.138, 0.000], [0.000, 0.000, 8.504]], "species": ["Sb", "Sb", "Sb", "Sb", "Pb", "Pb", "Pb", "Pb", "Au", "Au"], "frac_coords": [[0.000, 0.000, 0.178], [0.000, 0.000, 0.822], [0.500, 0.500, 0.322], [0.500, 0.500, 0.678], [0.000, 0.500, 0.250], [0.000, 0.500, 0.750], [0.500, 0.000, 0.250], [0.500, 0.000, 0.750], [0.000, 0.000, 0.500], [0.500, 0.500, 0.000]]}


(7)
{"formula": "Hf2ZrSn", "functional": "PBE", "state": "optimized geometry", "space_group": "I-42d, No. 122", "e_form_mev_per_atom": 304, "lattice": [[8.117, 0.000, 0.000], [0.000, 8.117, 0.000], [0.000, 0.000, 5.848]], "species": ["Hf", "Hf", "Hf", "Hf", "Hf", "Hf", "Hf", "Hf", "Zr", "Zr", "Zr", "Zr", "Sn", "Sn", "Sn", "Sn"], "frac_coords": [[0.236, 0.250, 0.125], [0.250, 0.736, 0.375], [0.250, 0.764, 0.875], [0.264, 0.250, 0.625], [0.736, 0.750, 0.625], [0.750, 0.236, 0.875], [0.750, 0.264, 0.375], [0.764, 0.750, 0.125], [0.000, 0.000, 0.500], [0.000, 0.500, 0.750], [0.500, 0.000, 0.250], [0.500, 0.500, 0.000], [0.000, 0.000, 0.000], [0.000, 0.500, 0.250], [0.500, 0.000, 0.750], [0.500, 0.500, 0.500]]}


(8)
{"formula": "SrNd2Ag", "functional": "PBE", "state": "optimized geometry", "de_polymorph_ev_per_atom": 0.206, "space_group": "R-3m, No. 166", "e_form_mev_per_atom": 200, "lattice": [[3.704, 0.000, 0.000], [-1.852, 3.208, 0.000], [0.000, 0.000, 35.924]], "species": ["Sr", "Sr", "Sr", "Nd", "Nd", "Nd", "Nd", "Nd", "Nd", "Ag", "Ag", "Ag"], "frac_coords": [[0.000, 0.000, 0.000], [0.333, 0.667, 0.667], [0.667, 0.333, 0.333], [0.000, 0.000, 0.102], [0.000, 0.000, 0.898], [0.333, 0.667, 0.565], [0.333, 0.667, 0.768], [0.667, 0.333, 0.232], [0.667, 0.333, 0.435], [0.000, 0.000, 0.500], [0.333, 0.667, 0.167], [0.667, 0.333, 0.833]]}


(9)
{"formula": "Th4Bi3Sb", "functional": "PBE", "state": "optimized geometry", "de_polymorph_ev_per_atom": 0.000, "formation_energy_uncorrected_mev_per_atom": -647, "space_group": "P2/c, No. 13", "lattice": [[7.952, 0.000, 0.000], [0.000, 9.086, 0.000], [-2.603, 0.000, 7.495]], "species": ["Th", "Th", "Th", "Th", "Th", "Th", "Th", "Th", "Bi", "Bi", "Bi", "Bi", "Bi", "Bi", "Sb", "Sb"], "frac_coords": [[0.240, 0.120, 0.001], [0.240, 0.880, 0.501], [0.246, 0.369, 0.495], [0.246, 0.631, 0.995], [0.754, 0.369, 0.005], [0.754, 0.631, 0.505], [0.760, 0.120, 0.499], [0.760, 0.880, 0.999], [0.000, 0.376, 0.750], [0.000, 0.624, 0.250], [0.500, 0.125, 0.750], [0.500, 0.376, 0.250], [0.500, 0.624, 0.750], [0.500, 0.875, 0.250], [0.000, 0.125, 0.250], [0.000, 0.875, 0.750]]}


(10)
{"formula": "CaPtS2N", "functional": "PBE", "state": "optimized geometry", "de_polymorph_ev_per_atom": 1.555, "formation_energy_uncorrected_mev_per_atom": 1277, "space_group": "P4/mmm, No. 123", "lattice": [[5.187, 0.000, 0.000], [0.000, 5.187, 0.000], [0.000, 0.000, 4.319]], "species": ["Ca", "Pt", "S", "S", "N"], "frac_coords": [[0.000, 0.000, 0.000], [0.500, 0.500, 0.500], [0.000, 0.500, 0.000], [0.500, 0.000, 0.000], [0.000, 0.000, 0.500]]}


(11)
{"formula": "MgSiBiPb2", "functional": "PBE", "state": "optimized geometry", "formation_energy_uncorrected_mev_per_atom": 508, "space_group": "P4/mmm, No. 123", "lattice": [[5.404, 0.000, 0.000], [0.000, 5.404, 0.000], [0.000, 0.000, 5.568]], "species": ["Mg", "Si", "Bi", "Pb", "Pb"], "frac_coords": [[0.000, 0.000, 0.000], [0.500, 0.500, 0.500], [0.500, 0.500, 0.000], [0.000, 0.500, 0.500], [0.500, 0.000, 0.500]]}


(12)
{"formula": "BeAs2Rh", "functional": "PBE", "state": "optimized geometry", "space_group": "Pmmm, No. 47", "e_form_mev_per_atom": 117, "lattice": [[3.237, 0.000, 0.000], [0.000, 3.307, 0.000], [0.000, 0.000, 5.570]], "species": ["Be", "As", "As", "Rh"], "frac_coords": [[0.000, 0.000, 0.000], [0.500, 0.500, 0.247], [0.500, 0.500, 0.753], [0.000, 0.000, 0.500]]}


Number 1: E -6.91 eV per atom. Number 2: E -3.73 eV per atom. Number 3: E -3.13 eV per atom. Number 4: E -7.84 eV per atom. Number 5: E -5.55 eV per atom. Number 6: E -3.62 eV per atom. Number 7: E -7.81 eV per atom. Number 8: E -3.32 eV per atom. Number 9: E -6.33 eV per atom. Number 10: E -3.65 eV per atom. Number 11: E -3.16 eV per atom. Number 12: E -4.98 eV per atom.